A plane-wave DFT calculation with PBE was carried out for an optimized crystal structure of HgPbAu2.

Results
DOS at the Fermi energy	1.39	states/eV/cell
energy of formation from the pure elements	0.18	eV per formula unit
DFT total energy	-2.596	eV per atom
volume	89.9	Å³ per cell

Cell lengths 3.2165, 3.9822, 7.0188 Å; angles 90.00, 90.00, 90.00 degrees
Last column: nearest neighbours and their distance in Å.
Sites, in units of the cell vectors:
Hg 0.5000 0.5000 0.2500  8 Au 3.01, 2 Hg 3.22
Au 0.0000 0.0000 0.4756  4 Hg 3.01, 3 Au 3.17-3.22, 4 Pb 3.20
Au 0.0000 0.0000 0.0244  4 Hg 3.01, 3 Au 3.17-3.22, 4 Pb 3.20
Pb 0.5000 0.5000 0.7500  8 Au 3.20, 2 Pb 3.22, 2 Hg 3.51